(1)
Compound: NbAg2PtAu
Source: the Alexandria database
Functional: PBE
Structure: relaxed

Lattice parameters (Å, degrees): 5.063 5.063 4.989 90.00 90.00 90.00
Element x y z (fractional)
Nb (0.000, 0.000, 0.000)
Ag (0.000, 0.500, 0.000)
Ag (0.500, 0.000, 0.000)
Pt (0.500, 0.500, 0.500)
Au (0.000, 0.000, 0.500)

D(E_F) = 1.38 states/eV/atom
Energy relative to the elements = 38.98 kcal/mol of atoms
Volume = 25.58 Å³/atom

***

(2)
Compound: HoCdSn3
Source: the Alexandria database
Functional: PBE
Structure: relaxed

Lattice parameters (Å, degrees): 13.089 6.257 6.276 90.00 90.00 90.00
Element x y z (fractional)
Ho (0.188, 0.008, 0.250)
Ho (0.188, 0.492, 0.750)
Ho (0.812, 0.508, 0.250)
Ho (0.812, 0.992, 0.750)
Cd (0.383, 0.250, 0.000)
Cd (0.383, 0.250, 0.500)
Cd (0.617, 0.750, 0.000)
Cd (0.617, 0.750, 0.500)
Sn (0.000, 0.250, 0.000)
Sn (0.000, 0.250, 0.500)
Sn (0.000, 0.750, 0.000)
Sn (0.000, 0.750, 0.500)
Sn (0.223, 0.514, 0.250)
Sn (0.223, 0.986, 0.750)
Sn (0.417, 0.696, 0.750)
Sn (0.417, 0.804, 0.250)
Sn (0.583, 0.196, 0.750)
Sn (0.583, 0.304, 0.250)
Sn (0.777, 0.014, 0.250)
Sn (0.777, 0.486, 0.750)

D(E_F) = 0.36 states/eV/atom
Energy relative to the elements = -7.10 kcal/mol of atoms
Volume = 25.70 Å³/atom

***

(3)
Compound: TbCeGa2Au2
Source: the Alexandria database
Functional: PBE
Structure: relaxed

Lattice parameters (Å, degrees): 4.557 4.557 7.324 90.00 90.00 120.00
Element x y z (fractional)
Tb (0.000, 0.000, 0.000)
Ce (0.000, 0.000, 0.500)
Ga (0.333, 0.667, 0.248)
Ga (0.667, 0.333, 0.752)
Au (0.333, 0.667, 0.765)
Au (0.667, 0.333, 0.235)

D(E_F) = 1.02 states/eV/atom
Energy relative to the elements = -17.03 kcal/mol of atoms
Volume = 21.95 Å³/atom

***

(4)
Compound: LaPmCo
Source: the Alexandria database
Functional: PBE
Structure: relaxed

Lattice parameters (Å, degrees): 3.487 3.487 13.311 90.00 90.00 90.00
Element x y z (fractional)
La (0.000, 0.000, 0.000)
La (0.500, 0.500, 0.500)
Pm (0.000, 0.000, 0.247)
Pm (0.500, 0.500, 0.747)
Co (0.000, 0.000, 0.626)
Co (0.500, 0.500, 0.126)

Offset from the most stable computed form = 87 meV per atom
D(E_F) = 1.15 states/eV/atom
Energy relative to the elements = 0.07 kcal/mol of atoms
Volume = 26.97 Å³/atom

***

(5)
Compound: Pr2Tm3Pb4
Source: the Alexandria database
Functional: PBE
Structure: relaxed

Lattice parameters (Å, degrees): 9.370 9.370 8.995 90.00 90.00 135.49
Element x y z (fractional)
Pr (0.112, 0.888, 0.912)
Pr (0.388, 0.612, 0.412)
Pr (0.612, 0.388, 0.588)
Pr (0.888, 0.112, 0.088)
Tm (0.000, 0.000, 0.500)
Tm (0.042, 0.458, 0.750)
Tm (0.458, 0.042, 0.250)
Tm (0.500, 0.500, 0.000)
Tm (0.542, 0.958, 0.750)
Tm (0.958, 0.542, 0.250)
Pb (0.186, 0.814, 0.554)
Pb (0.217, 0.283, 0.750)
Pb (0.283, 0.217, 0.250)
Pb (0.314, 0.686, 0.054)
Pb (0.686, 0.314, 0.946)
Pb (0.717, 0.783, 0.750)
Pb (0.783, 0.717, 0.250)
Pb (0.814, 0.186, 0.446)

Offset from the most stable computed form = 122 meV per atom
D(E_F) = 0.53 states/eV/atom
Energy relative to the elements = -10.40 kcal/mol of atoms
Volume = 30.76 Å³/atom

***

(6)
Compound: NaPr2PbO5
Source: the Alexandria database
Functional: PBE
Structure: relaxed

Lattice parameters (Å, degrees): 6.910 6.910 6.473 90.00 90.00 90.00
Element x y z (fractional)
Na (0.000, 0.000, 0.000)
Na (0.500, 0.500, 0.000)
Pr (0.175, 0.325, 0.500)
Pr (0.325, 0.825, 0.500)
Pr (0.675, 0.175, 0.500)
Pr (0.825, 0.675, 0.500)
Pb (0.000, 0.500, 0.000)
Pb (0.500, 0.000, 0.000)
O (0.000, 0.000, 0.500)
O (0.145, 0.645, 0.265)
O (0.145, 0.645, 0.735)
O (0.355, 0.145, 0.265)
O (0.355, 0.145, 0.735)
O (0.500, 0.500, 0.500)
O (0.645, 0.855, 0.265)
O (0.645, 0.855, 0.735)
O (0.855, 0.355, 0.265)
O (0.855, 0.355, 0.735)

Raw formation energy = -2.074 eV per atom
D(E_F) = 0.23 states/eV/atom
Volume = 17.17 Å³/atom

***

(7)
Compound: La2SiB
Source: the Alexandria database
Functional: PBE
Structure: relaxed

Lattice parameters (Å, degrees): 7.163 7.163 7.163 90.00 90.00 90.00
Element x y z (fractional)
La (0.250, 0.250, 0.250)
La (0.250, 0.250, 0.750)
La (0.250, 0.750, 0.250)
La (0.250, 0.750, 0.750)
La (0.750, 0.250, 0.250)
La (0.750, 0.250, 0.750)
La (0.750, 0.750, 0.250)
La (0.750, 0.750, 0.750)
Si (0.000, 0.000, 0.000)
Si (0.000, 0.500, 0.500)
Si (0.500, 0.000, 0.500)
Si (0.500, 0.500, 0.000)
B (0.000, 0.000, 0.500)
B (0.000, 0.500, 0.000)
B (0.500, 0.000, 0.000)
B (0.500, 0.500, 0.500)

Offset from the most stable computed form = 0 meV per atom
Raw formation energy = 0.050 eV per atom
D(E_F) = 0.63 states/eV/atom
Volume = 22.97 Å³/atom

***

(8)
Compound: CrAg2Br
Source: the Alexandria database
Functional: PBE
Structure: relaxed

Lattice parameters (Å, degrees): 3.334 3.334 25.649 90.00 90.00 120.00
Element x y z (fractional)
Cr (0.000, 0.000, 0.000)
Cr (0.333, 0.667, 0.667)
Cr (0.667, 0.333, 0.333)
Ag (0.000, 0.000, 0.253)
Ag (0.000, 0.000, 0.747)
Ag (0.333, 0.667, 0.414)
Ag (0.333, 0.667, 0.919)
Ag (0.667, 0.333, 0.081)
Ag (0.667, 0.333, 0.586)
Br (0.000, 0.000, 0.500)
Br (0.333, 0.667, 0.167)
Br (0.667, 0.333, 0.833)

Offset from the most stable computed form = 220 meV per atom
Raw formation energy = 0.407 eV per atom
D(E_F) = 0.66 states/eV/atom
Volume = 20.57 Å³/atom

***

(9)
Compound: InReTe2
Source: the Alexandria database
Functional: PBE
Structure: relaxed

Lattice parameters (Å, degrees): 7.242 7.242 10.420 90.00 90.00 90.00
Element x y z (fractional)
In (0.000, 0.000, 0.000)
In (0.000, 0.500, 0.250)
In (0.500, 0.000, 0.750)
In (0.500, 0.500, 0.500)
Re (0.000, 0.000, 0.500)
Re (0.000, 0.500, 0.750)
Re (0.500, 0.000, 0.250)
Re (0.500, 0.500, 0.000)
Te (0.176, 0.250, 0.625)
Te (0.250, 0.676, 0.875)
Te (0.250, 0.824, 0.375)
Te (0.324, 0.250, 0.125)
Te (0.676, 0.750, 0.125)
Te (0.750, 0.176, 0.375)
Te (0.750, 0.324, 0.875)
Te (0.824, 0.750, 0.625)

Raw formation energy = 0.470 eV per atom
D(E_F) = 0.82 states/eV/atom
Volume = 34.15 Å³/atom

***

(10)
Compound: ReMo3
Source: the Alexandria database
Functional: PBE
Structure: relaxed

Lattice parameters (Å, degrees): 8.919 8.919 2.722 90.00 90.00 120.00
Element x y z (fractional)
Re (0.000, 0.000, 0.000)
Re (0.333, 0.667, 0.667)
Re (0.667, 0.333, 0.333)
Mo (0.000, 0.500, 0.000)
Mo (0.167, 0.333, 0.333)
Mo (0.167, 0.833, 0.333)
Mo (0.333, 0.167, 0.667)
Mo (0.500, 0.000, 0.000)
Mo (0.500, 0.500, 0.000)
Mo (0.667, 0.833, 0.333)
Mo (0.833, 0.167, 0.667)
Mo (0.833, 0.667, 0.667)

D(E_F) = 0.89 states/eV/atom
Energy relative to the elements = 0.61 kcal/mol of atoms
Volume = 15.63 Å³/atom

***

(11)
Compound: BaDy2ZnS5
Source: the Alexandria database
Functional: PBE
Structure: relaxed

Lattice parameters (Å, degrees): 8.717 8.717 8.717 127.45 127.45 77.52
Element x y z (fractional)
Ba (0.250, 0.250, 0.000)
Ba (0.750, 0.750, 0.000)
Dy (0.161, 0.661, 0.823)
Dy (0.339, 0.161, 0.500)
Dy (0.661, 0.839, 0.500)
Dy (0.839, 0.339, 0.177)
Zn (0.250, 0.750, 0.500)
Zn (0.750, 0.250, 0.500)
S (0.000, 0.000, 0.000)
S (0.019, 0.222, 0.500)
S (0.222, 0.722, 0.203)
S (0.278, 0.481, 0.500)
S (0.481, 0.981, 0.203)
S (0.500, 0.500, 0.000)
S (0.519, 0.019, 0.797)
S (0.722, 0.519, 0.500)
S (0.778, 0.278, 0.797)
S (0.981, 0.778, 0.500)

Raw formation energy = -1.767 eV per atom
Volume = 22.49 Å³/atom

***

(12)
Compound: Pa3Ga4Ni2
Source: the Alexandria database
Functional: PBE
Structure: relaxed

Lattice parameters (Å, degrees): 7.817 7.817 7.817 154.13 121.12 65.38
Element x y z (fractional)
Pa (0.000, 0.000, 0.000)
Pa (0.396, 0.896, 0.500)
Pa (0.604, 0.104, 0.500)
Ga (0.007, 0.685, 0.323)
Ga (0.362, 0.685, 0.677)
Ga (0.638, 0.315, 0.323)
Ga (0.993, 0.315, 0.677)
Ni (0.255, 0.500, 0.755)
Ni (0.745, 0.500, 0.245)

Offset from the most stable computed form = 149 meV per atom
D(E_F) = 1.00 states/eV/atom
Energy relative to the elements = -5.82 kcal/mol of atoms
Volume = 19.65 Å³/atom

***

(13)
Compound: Nd2TmZn2
Source: the Alexandria database
Functional: PBE
Structure: relaxed

Lattice parameters (Å, degrees): 4.573 4.347 13.582 90.00 99.34 90.00
Element x y z (fractional)
Nd (0.054, 0.250, 0.112)
Nd (0.264, 0.750, 0.529)
Nd (0.736, 0.250, 0.471)
Nd (0.946, 0.750, 0.888)
Tm (0.366, 0.250, 0.730)
Tm (0.634, 0.750, 0.270)
Zn (0.168, 0.250, 0.332)
Zn (0.474, 0.250, 0.948)
Zn (0.526, 0.750, 0.052)
Zn (0.832, 0.750, 0.668)

Offset from the most stable computed form = 71 meV per atom
D(E_F) = 1.27 states/eV/atom
Energy relative to the elements = -2.96 kcal/mol of atoms
Volume = 26.64 Å³/atom

***

(14)
Compound: Ta2ZnOs2
Source: the Alexandria database
Functional: PBE
Structure: relaxed

Lattice parameters (Å, degrees): 7.532 7.532 3.035 90.00 90.00 90.00
Element x y z (fractional)
Ta (0.156, 0.344, 0.000)
Ta (0.344, 0.844, 0.000)
Ta (0.656, 0.156, 0.000)
Ta (0.844, 0.656, 0.000)
Zn (0.000, 0.000, 0.500)
Zn (0.500, 0.500, 0.500)
Os (0.141, 0.641, 0.500)
Os (0.359, 0.141, 0.500)
Os (0.641, 0.859, 0.500)
Os (0.859, 0.359, 0.500)

Offset from the most stable computed form = 0 meV per atom
D(E_F) = 0.85 states/eV/atom
Energy relative to the elements = -0.32 kcal/mol of atoms
Volume = 17.22 Å³/atom

***

(15)
Compound: CaBeCr3
Source: the Alexandria database
Functional: PBE
Structure: relaxed

Lattice parameters (Å, degrees): 4.218 4.218 4.218 90.00 90.00 90.00
Element x y z (fractional)
Ca (0.000, 0.000, 0.000)
Be (0.500, 0.500, 0.500)
Cr (0.000, 0.500, 0.500)
Cr (0.500, 0.000, 0.500)
Cr (0.500, 0.500, 0.000)

Offset from the most stable computed form = 0 meV per atom
D(E_F) = 2.14 states/eV/atom
Energy relative to the elements = 26.36 kcal/mol of atoms
Volume = 15.01 Å³/atom

***

(16)
Compound: Co2RuBr
Source: the Alexandria database
Functional: PBE
Structure: relaxed

Lattice parameters (Å, degrees): 5.772 5.772 8.743 90.00 90.00 90.00
Element x y z (fractional)
Co (0.230, 0.250, 0.125)
Co (0.250, 0.730, 0.375)
Co (0.250, 0.770, 0.875)
Co (0.270, 0.250, 0.625)
Co (0.730, 0.750, 0.625)
Co (0.750, 0.230, 0.875)
Co (0.750, 0.270, 0.375)
Co (0.770, 0.750, 0.125)
Ru (0.000, 0.000, 0.000)
Ru (0.000, 0.500, 0.250)
Ru (0.500, 0.000, 0.750)
Ru (0.500, 0.500, 0.500)
Br (0.000, 0.000, 0.500)
Br (0.000, 0.500, 0.750)
Br (0.500, 0.000, 0.250)
Br (0.500, 0.500, 0.000)

Offset from the most stable computed form = 430 meV per atom
Raw formation energy = 0.956 eV per atom
D(E_F) = 1.29 states/eV/atom
Volume = 18.21 Å³/atom

***

(17)
Compound: K3NiH4
Source: the Alexandria database
Functional: PBE
Structure: relaxed

Lattice parameters (Å, degrees): 5.918 8.869 5.520 90.00 90.00 90.00
Element x y z (fractional)
K (0.000, 0.000, 0.000)
K (0.000, 0.255, 0.519)
K (0.000, 0.745, 0.519)
K (0.500, 0.245, 0.019)
K (0.500, 0.500, 0.500)
K (0.500, 0.755, 0.019)
Ni (0.000, 0.500, 0.988)
Ni (0.500, 0.000, 0.488)
H (0.000, 0.323, 0.032)
H (0.000, 0.677, 0.032)
H (0.243, 0.000, 0.420)
H (0.257, 0.500, 0.920)
H (0.500, 0.177, 0.532)
H (0.500, 0.823, 0.532)
H (0.743, 0.500, 0.920)
H (0.757, 0.000, 0.420)

D(E_F) = 0.27 states/eV/atom
Total energy = -2.899 eV per atom
Volume = 18.11 Å³/atom

***

(18)
Compound: Cr2Ni6Rh
Source: the Alexandria database
Functional: PBE
Structure: relaxed

Lattice parameters (Å, degrees): 7.106 7.106 7.106 159.98 122.20 61.80
Element x y z (fractional)
Cr (0.153, 0.153, 0.000)
Cr (0.847, 0.847, 0.000)
Ni (0.152, 0.327, 0.825)
Ni (0.169, 0.500, 0.669)
Ni (0.498, 0.673, 0.825)
Ni (0.502, 0.327, 0.175)
Ni (0.831, 0.500, 0.331)
Ni (0.848, 0.673, 0.175)
Rh (0.500, 0.000, 0.500)

Offset from the most stable computed form = 92 meV per atom
D(E_F) = 1.16 states/eV/atom
Energy relative to the elements = 2.17 kcal/mol of atoms
Volume = 11.49 Å³/atom

***

(19)
Compound: Ca2CrSbSe
Source: the Alexandria database
Functional: PBE
Structure: relaxed

Lattice parameters (Å, degrees): 5.515 5.515 4.838 90.00 90.00 90.00
Element x y z (fractional)
Ca (0.000, 0.500, 0.000)
Ca (0.500, 0.000, 0.000)
Cr (0.000, 0.000, 0.500)
Sb (0.500, 0.500, 0.500)
Se (0.000, 0.000, 0.000)

Raw formation energy = -0.587 eV per atom
D(E_F) = 0.11 states/eV/atom
Volume = 29.43 Å³/atom

***

(20)
Compound: HoPuOsAu
Source: the Alexandria database
Functional: PBE
Structure: relaxed

Lattice parameters (Å, degrees): 6.985 6.985 6.985 90.00 90.00 90.00
Element x y z (fractional)
Ho (0.000, 0.000, 0.000)
Ho (0.000, 0.500, 0.500)
Ho (0.500, 0.000, 0.500)
Ho (0.500, 0.500, 0.000)
Pu (0.000, 0.000, 0.500)
Pu (0.000, 0.500, 0.000)
Pu (0.500, 0.000, 0.000)
Pu (0.500, 0.500, 0.500)
Os (0.250, 0.250, 0.750)
Os (0.250, 0.750, 0.250)
Os (0.750, 0.250, 0.250)
Os (0.750, 0.750, 0.750)
Au (0.250, 0.250, 0.250)
Au (0.250, 0.750, 0.750)
Au (0.750, 0.250, 0.750)
Au (0.750, 0.750, 0.250)

D(E_F) = 2.49 states/eV/atom
Energy relative to the elements = -6.06 kcal/mol of atoms
Volume = 21.30 Å³/atom